VASP calculation (PBE-GGA) on crystalline Cs3Er2ThTe6 at its relaxed geometry. Values from VASP.

The structure in Quantum ESPRESSO input format:
```
&SYSTEM
  ibrav = 0, nat = 12, ntyp = 4
/
ATOMIC_SPECIES
Te 127.60 Te.upf
Cs 132.91 Cs.upf
Er 167.26 Er.upf
Th 232.04 Th.upf
CELL_PARAMETERS angstrom
-6.609 -3.778 1.882
6.771 -2.009 3.407
-1.588 7.879 4.793
ATOMIC_POSITIONS angstrom
Te -3.427 1.630 7.666
Cs -0.713 1.046 5.041
Te -0.187 -2.684 4.751
Cs -5.193 0.454 4.530
Te 2.001 0.462 2.415
Cs 3.767 1.638 5.551
Te -2.536 -0.138 1.898
Te 1.110 2.230 8.183
Te -1.239 4.776 5.330
Er -2.151 -3.189 2.390
Er 2.313 -2.599 2.898
Th 0.000 0.000 0.000
```

Space-group type: No. 12
E_form (uncorrected): -1500 kJ/mol of formula units
Density: 6.01 Mg/m³
E_tot: -4.459 eV per atom
Spin magnetization: 0.0 μB per formula unit


VASP calculation (PBE-GGA) on crystalline CsErTmTe3 at its relaxed geometry. Values from VASP.

The structure in Quantum ESPRESSO input format:
```
&SYSTEM
  ibrav = 0, nat = 12, ntyp = 4
/
ATOMIC_SPECIES
Cs 132.91 Cs.upf
Tm 168.93 Tm.upf
Te 127.60 Te.upf
Er 167.26 Er.upf
CELL_PARAMETERS angstrom
4.855 0.000 0.000
0.000 9.594 -1.210
0.000 -3.794 10.857
ATOMIC_POSITIONS angstrom
Cs 3.641 4.466 7.217
Tm 1.214 -1.144 6.666
Te 3.641 0.069 5.590
Te 3.641 8.015 0.250
Tm 3.641 6.945 2.981
Er 3.641 -0.160 9.169
Te 1.214 -2.214 9.397
Er 1.214 5.960 0.479
Te 1.214 1.611 8.390
Te 1.214 5.732 4.058
Cs 1.214 1.335 2.431
Te 3.641 4.190 1.257
```

Space-group type: No. 11
E_form (uncorrected): -698 kJ/mol of formula units
Density: 5.85 Mg/m³
E_tot: -4.425 eV per atom
Spin magnetization: 0.0 μB per formula unit


VASP calculation (PBE-GGA) on crystalline Cs3ErTm2Te6 at its relaxed geometry. Values from VASP.

The structure in Quantum ESPRESSO input format:
```
&SYSTEM
  ibrav = 0, nat = 12, ntyp = 4
/
ATOMIC_SPECIES
Te 127.60 Te.upf
Tm 168.93 Tm.upf
Er 167.26 Er.upf
Cs 132.91 Cs.upf
CELL_PARAMETERS angstrom
-4.246 1.739 -6.334
0.137 -7.330 2.724
-5.640 3.663 6.398
ATOMIC_POSITIONS angstrom
Te -7.014 -2.847 3.931
Tm -2.786 -1.283 -3.315
Te -4.050 -3.384 -1.429
Te -1.270 -2.113 1.886
Er 0.000 0.000 0.000
Cs -6.338 2.063 -1.629
Cs -4.875 -0.964 1.394
Te -5.700 1.457 4.217
Te -2.736 0.919 -1.142
Tm -1.324 -4.308 -0.295
Te -8.480 0.185 0.903
Cs -3.412 -3.991 4.417
```

Space-group type: No. 12
E_form (uncorrected): -1577 kJ/mol of formula units
Density: 5.87 Mg/m³
E_tot: -4.272 eV per atom
Spin magnetization: 0.0 μB per formula unit


Question: What is the E_form (uncorrected) in the third record?
Answer: -1577 kJ/mol of formula units


Question: Among the records above, which one has the lowest E_form (uncorrected)?
Answer: Cs3ErTm2Te6